K2Ge3Au5: optimized geometry, PBE.

abc: 9.156 9.156 9.156
angles: 112.22 83.57 137.21
Positions (direct):
K 0.130 0.250 0.380
K 0.370 0.750 0.120
K 0.630 0.250 0.880
K 0.870 0.750 0.620
Ge 0.126 0.615 0.741
Ge 0.250 0.250 0.000
Ge 0.374 0.115 0.490
Ge 0.626 0.885 0.510
Ge 0.750 0.750 0.000
Ge 0.874 0.385 0.259
Au 0.005 0.750 0.255
Au 0.111 0.869 0.980
Au 0.250 0.750 0.500
Au 0.389 0.369 0.759
Au 0.495 0.750 0.745
Au 0.505 0.250 0.255
Au 0.611 0.631 0.241
Au 0.750 0.250 0.500
Au 0.889 0.131 0.020
Au 0.995 0.250 0.745

Calculated values
E_form, eV/atom: -0.2035